Below is crystalline DyTe3PbAu at its relaxed geometry, with properties calculated at the GGA-PBE level.

Calculated values
Its raw total energy is -0.310 Ry per atom.

Lattice parameters (Å, degrees): 11.2459 4.3137 14.7556 90.00 90.00 90.00
Element x y z (fractional)
Au: 0.2458 0.7500 0.7823
Au: 0.7542 0.2500 0.2177
Au: 0.7458 0.7500 0.7177
Au: 0.2542 0.2500 0.2823
Te: 0.4598 0.2500 0.3933
Te: 0.0402 0.7500 0.8933
Te: 0.0622 0.2500 0.4000
Te: 0.2628 0.7500 0.1577
Te: 0.4378 0.7500 0.9000
Te: 0.2372 0.2500 0.6577
Te: 0.5402 0.7500 0.6067
Te: 0.7628 0.7500 0.3423
Te: 0.9598 0.2500 0.1067
Te: 0.5622 0.2500 0.1000
Te: 0.7372 0.2500 0.8423
Te: 0.9378 0.7500 0.6000
Dy: 0.9856 0.2500 0.7473
Dy: 0.5144 0.7500 0.2473
Dy: 0.0144 0.7500 0.2527
Dy: 0.4856 0.2500 0.7527
Pb: 0.7348 0.2500 0.5269
Pb: 0.2652 0.7500 0.4731
Pb: 0.2348 0.2500 0.9731
Pb: 0.7652 0.7500 0.0269